Density functional theory data (PBE-GGA) for a relaxed structure of Nd2SmEr2.

Computed properties:
size of the total moment: 0.0 μB per formula unit
E_tot: -4.670 eV per atom
distance to the lowest polymorph of the same formula: 0 meV per atom
energy of formation: 0.01 eV per atom
calculated volume: 164.93 Å³/cell

```
Nd2SmEr2
1.0
-2.8879 -0.8273 2.0121
0.2743 -2.4632 2.6295
6.1415 5.3116 14.2473
Nd Sm Er
2 1 2
Cartesian
0.0778 -0.6664 3.0863
3.4501 2.6874 15.8026
1.7640 1.0105 9.4444
3.6109 1.7047 12.3807
-0.0829 0.3164 6.5082
```